[1]
This record from Alexandria describes a relaxed Zr2Pb crystal. The functional is PBE-GGA.

Cell lengths 6.002, 6.002, 7.752 Å; angles 100.93, 100.93, 31.68 degrees
Atoms (fractional coordinates):
Zr: 0.000 0.000 0.000
Zr: 0.061 0.061 0.606
Zr: 0.377 0.377 0.276
Zr: 0.723 0.723 0.941
Pb: 0.342 0.342 0.672
Pb: 0.650 0.650 0.313

The value obtained for the formation energy is -0.111 eV per atom.

---

[2]
This record from Alexandria describes a relaxed Zr3Pb crystal. The functional is PBE-GGA.

Cell lengths 3.189, 5.266, 5.648 Å; angles 90.00, 95.01, 90.00 degrees
Atoms (fractional coordinates):
Zr: 0.000 0.000 0.000
Zr: 0.265 0.500 0.766
Zr: 0.735 0.500 0.234
Pb: 0.500 0.000 0.500

The value obtained for the formation energy is -0.037 eV per atom.

---

[3]
This record from Alexandria describes a relaxed Zr3Pb crystal. The functional is PBE-GGA.

Cell lengths 3.230, 3.230, 9.255 Å; angles 90.00, 90.00, 90.00 degrees
Atoms (fractional coordinates):
Zr: 0.000 0.000 0.000
Zr: 0.500 0.500 0.240
Zr: 0.500 0.500 0.760
Pb: 0.000 0.000 0.500

The value obtained for the formation energy is -0.053 eV per atom.

---

[4]
This record from Alexandria describes a relaxed ZrPb5 crystal. The functional is PBE-GGA.

Cell lengths 6.185, 6.185, 5.946 Å; angles 90.00, 90.00, 120.00 degrees
Atoms (fractional coordinates):
Zr: 0.000 0.000 0.000
Pb: 0.000 0.500 0.500
Pb: 0.333 0.667 0.000
Pb: 0.500 0.000 0.500
Pb: 0.500 0.500 0.500
Pb: 0.667 0.333 0.000

The value obtained for the formation energy is 0.475 eV per atom.

---

[5]
This record from Alexandria describes a relaxed Zr4Pb crystal. The functional is PBE-GGA.

Cell lengths 8.485, 8.485, 8.485 Å; angles 145.95, 137.35, 55.66 degrees
Atoms (fractional coordinates):
Zr: 0.000 0.000 0.000
Zr: 0.205 0.197 0.008
Zr: 0.310 0.803 0.508
Zr: 0.351 0.601 0.750
Zr: 0.500 0.000 0.500
Zr: 0.649 0.399 0.250
Zr: 0.690 0.197 0.492
Zr: 0.795 0.803 0.992
Pb: 0.141 0.391 0.750
Pb: 0.859 0.609 0.250

The value obtained for the formation energy is -0.054 eV per atom.

---

[6]
This record from Alexandria describes a relaxed Zr3Pb crystal. The functional is PBE-GGA.

Cell lengths 5.522, 5.522, 3.248 Å; angles 90.00, 90.00, 109.90 degrees
Atoms (fractional coordinates):
Zr: 0.000 0.000 0.000
Zr: 0.000 0.500 0.500
Zr: 0.500 0.000 0.500
Pb: 0.500 0.500 0.000

The value obtained for the formation energy is -0.091 eV per atom.

---

[7]
This record from Alexandria describes a relaxed Zr2Pb crystal. The functional is PBE-GGA.

Cell lengths 5.994, 5.994, 8.168 Å; angles 113.95, 113.95, 33.40 degrees
Atoms (fractional coordinates):
Zr: 0.033 0.033 0.295
Zr: 0.357 0.357 0.966
Zr: 0.643 0.643 0.034
Zr: 0.967 0.967 0.705
Pb: 0.325 0.325 0.352
Pb: 0.675 0.675 0.648

The value obtained for the formation energy is -0.112 eV per atom.

---

[8]
This record from Alexandria describes a relaxed ZrPb4 crystal. The functional is PBE-GGA.

Cell lengths 5.686, 5.686, 5.686 Å; angles 90.00, 90.00, 90.00 degrees
Atoms (fractional coordinates):
Zr: 0.000 0.000 0.000
Pb: 0.000 0.000 0.500
Pb: 0.000 0.500 0.000
Pb: 0.500 0.000 0.000
Pb: 0.500 0.500 0.500

The value obtained for the formation energy is 0.368 eV per atom.

---

[9]
This record from Alexandria describes a relaxed Zr2Pb crystal. The functional is PBE-GGA.

Cell lengths 3.358, 3.358, 7.581 Å; angles 90.00, 90.00, 120.00 degrees
Atoms (fractional coordinates):
Zr: 0.333 0.667 0.341
Zr: 0.667 0.333 0.659
Pb: 0.000 0.000 0.000

The value obtained for the formation energy is -0.063 eV per atom.

---

[10]
This record from Alexandria describes a relaxed Zr3Pb crystal. The functional is PBE-GGA.

Cell lengths 10.317, 10.317, 10.317 Å; angles 18.51, 18.51, 18.51 degrees
Atoms (fractional coordinates):
Zr: 0.000 0.000 0.000
Zr: 0.251 0.251 0.251
Zr: 0.749 0.749 0.749
Pb: 0.500 0.500 0.500

The value obtained for the formation energy is -0.014 eV per atom.

---

[11]
This record from Alexandria describes a relaxed Pm2Pd crystal. The functional is PBE-GGA.

Cell lengths 8.760, 3.881, 9.830 Å; angles 90.00, 90.00, 90.00 degrees
Atoms (fractional coordinates):
Pm: 0.012 0.250 0.180
Pm: 0.162 0.250 0.537
Pm: 0.338 0.750 0.037
Pm: 0.488 0.750 0.680
Pm: 0.512 0.250 0.320
Pm: 0.662 0.250 0.963
Pm: 0.838 0.750 0.463
Pm: 0.988 0.750 0.820
Pd: 0.237 0.750 0.329
Pd: 0.263 0.250 0.829
Pd: 0.737 0.750 0.171
Pd: 0.763 0.250 0.671

The value obtained for the formation energy is -0.525 eV per atom.

---

[12]
This record from Alexandria describes a relaxed Pm2Pd5 crystal. The functional is PBE-GGA.

Cell lengths 7.338, 7.338, 5.929 Å; angles 90.00, 90.00, 120.80 degrees
Atoms (fractional coordinates):
Pm: 0.095 0.300 0.000
Pm: 0.300 0.095 0.500
Pm: 0.700 0.905 0.500
Pm: 0.905 0.700 0.000
Pd: 0.101 0.359 0.500
Pd: 0.268 0.732 0.250
Pd: 0.268 0.732 0.750
Pd: 0.359 0.101 0.000
Pd: 0.500 0.500 0.250
Pd: 0.500 0.500 0.750
Pd: 0.641 0.899 0.000
Pd: 0.732 0.268 0.250
Pd: 0.732 0.268 0.750
Pd: 0.899 0.641 0.500

The value obtained for the formation energy is -0.748 eV per atom.